The following is a PBE calculation of a relaxed structure of CaMoPb2, from Alexandria via LeMat-Bulk.

Summary:
- DOS at the Fermi energy: 0.86 states/eV per atom
- Symmetry: Fm-3m, No. 225
- Offset from the most stable computed form: 138 meV/atom
- Total moment: 0.47 μB per atom
- ΔE_f: 132 kJ/mol of formula units

a = 7.291 Å, b = 7.291 Å, c = 7.291 Å
α = 90.00°, β = 90.00°, γ = 90.00°
Positions (direct):
1 Ca 0.000 0.000 0.000
2 Ca 0.000 0.500 0.500
3 Ca 0.500 0.000 0.500
4 Ca 0.500 0.500 0.000
5 Mo 0.000 0.000 0.500
6 Mo 0.000 0.500 0.000
7 Mo 0.500 0.000 0.000
8 Mo 0.500 0.500 0.500
9 Pb 0.250 0.250 0.250
10 Pb 0.250 0.250 0.750
11 Pb 0.250 0.750 0.250
12 Pb 0.250 0.750 0.750
13 Pb 0.750 0.250 0.250
14 Pb 0.750 0.250 0.750
15 Pb 0.750 0.750 0.250
16 Pb 0.750 0.750 0.750